# 1
The following is a PBE with a Hubbard U calculation of a relaxed structure of HfMg6MnO8, from the Alexandria database.

Computed properties:
- symmetry = P4/mmm, No. 123
- N(E_F) (states/eV/atom) = 0.21
- total DFT energy (no corrections) (eV/atom) = -6.515
- V (Å³ per atom) = 10.613
- size of the total moment (μB/cell) = 4.0

POSCAR file:
```
HfMg6MnO8
1.0
-1.1454 -0.5871 4.1895
3.3537 -2.7717 0.5285
5.2014 6.7449 2.3673
O Mg Hf Mn
8 6 1 1
direct
0.0000 0.5000 0.0000
0.0000 0.0000 0.7469
0.5000 0.0000 0.5000
0.0000 0.0000 0.2531
0.5000 0.5000 0.7520
0.0000 0.5000 0.5000
0.5000 0.0000 0.0000
0.5000 0.5000 0.2480
0.5000 0.0000 0.2412
0.5000 0.5000 0.0000
0.0000 0.5000 0.2412
0.5000 0.0000 0.7588
0.0000 0.5000 0.7588
0.5000 0.5000 0.5000
0.0000 0.0000 0.5000
0.0000 0.0000 0.0000
```

# 2
The following is a PBE with a Hubbard U calculation of a relaxed structure of HfMg2MnO6, from the Alexandria database.

Computed properties:
- symmetry = R3, No. 146
- N(E_F) (states/eV/atom) = 0.00
- total DFT energy (no corrections) (eV/atom) = -7.559
- V (Å³ per atom) = 10.775
- size of the total moment (μB/cell) = 2.9

POSCAR file:
```
HfMg2MnO6
1.0
5.1807 -0.0001 0.0002
2.5903 4.4864 -0.0002
2.5903 1.4954 4.6358
Mg O Mn Hf
2 6 1 1
direct
0.0218 0.0218 0.9347
0.5276 0.5276 0.4172
0.4247 0.6971 0.7670
0.1112 0.4247 0.7670
0.9493 0.5890 0.2530
0.5889 0.2086 0.2531
0.6972 0.1114 0.7669
0.2087 0.9493 0.2530
0.3194 0.3193 0.0420
0.8129 0.8129 0.5612
```

# 3
The following is a PBE with a Hubbard U calculation of a relaxed structure of HfMg6MnO8, from the Alexandria database.

Computed properties:
- symmetry = P4/mmm, No. 123
- N(E_F) (states/eV/atom) = 0.16
- total DFT energy (no corrections) (eV/atom) = -6.552
- V (Å³ per atom) = 10.444
- size of the total moment (μB/cell) = 3.3

POSCAR file:
```
HfMg6MnO8
1.0
4.3414 0.0000 0.0000
0.0000 4.3414 0.0000
0.0000 0.0000 8.8663
O Hf Mg Mn
8 1 6 1
direct
0.5000 0.5000 0.7416
0.0000 0.0000 0.2635
0.0000 0.5000 0.0000
0.5000 0.5000 0.2584
0.0000 0.0000 0.7365
0.0000 0.5000 0.5000
0.5000 0.0000 0.0000
0.5000 0.0000 0.5000
0.5000 0.5000 0.0000
0.0000 0.0000 0.5000
0.0000 0.5000 0.2610
0.5000 0.0000 0.7390
0.5000 0.0000 0.2610
0.5000 0.5000 0.5000
0.0000 0.5000 0.7390
0.0000 0.0000 0.0000
```